[1]
DFT (PBE) results for a relaxed PuTlAgAu crystal.

a = 7.178 Å, b = 7.178 Å, c = 7.178 Å
α = 90.00°, β = 90.00°, γ = 90.00°
Space group F-43m (No. 216)
Asymmetric unit:
Pu (0.000, 0.000, 0.000) x4
Tl (0.000, 0.000, 0.500) x4
Ag (0.250, 0.250, 0.250) x4
Au (0.250, 0.250, 0.750) x4

Results
Crystal system ... cubic
DFT total energy ... -92.85 eV/cell

[2]
DFT (PBE) results for a relaxed KNiMo2S8 crystal.

a = 6.0352 Å, b = 6.0352 Å, c = 28.2262 Å
α = 90.00°, β = 90.00°, γ = 120.00°
Space group R-3 (No. 148, hexagonal axes)
Asymmetric unit:
K (0.0000, 0.0000, 0.0000) x3
Ni (0.0000, 0.0000, 0.5000) x3
Mo (0.0000, 0.0000, 0.2401) x6
S (0.0000, 0.0000, 0.3173) x6
S (0.0070, 0.6927, 0.5493) x18

Results
Crystal system ... trigonal
Energy relative to the elements, uncorrected ... -386 meV/atom